Compound: MgCdHgPb
Source: Alexandria via LeMat-Bulk
Functional: PBE
Structure: relaxed

## Properties
DFT formation energy	-0.005	eV/atom
energy	-1.635	eV/atom
E above lowest polymorph	36	meV/atom

Lattice parameters (Å, degrees): 5.2006 5.2006 5.2006 60.00 60.00 60.00
Closest atoms and distances in Å follow each position.
Fractional positions:
Mg  0.0000  0.0000  0.0000  4 Hg 3.18, 4 Pb 3.18
Cd  0.5000  0.5000  0.5000  4 Pb 3.18, 4 Hg 3.18
Hg  0.7500  0.7500  0.7500  4 Cd 3.18, 4 Mg 3.18
Pb  0.2500  0.2500  0.2500  4 Cd 3.18, 4 Mg 3.18